VASP calculation (GGA-PBE) on a relaxed structure of TbTmGaOs.

Unit cell a=4.903 b=4.903 c=4.903 alpha=60.00 beta=60.00 gamma=60.00
Atoms (fractional coordinates):
Ga 0.250 0.250 0.250
Os 0.750 0.750 0.750
Tm 0.500 0.500 0.500
Tb 0.000 0.000 0.000

final energy = -6.213 eV per atom
magnetic moment = 0.00 μB/f.u.
space-group type = No. 216